Computed, not measured: crystalline Y6HoTm5 at its relaxed geometry at the GGA-PBE level of DFT.

a = 4.9987 Å, b = 15.0089 Å, c = 9.9737 Å
α = 90.00°, β = 90.00°, γ = 90.00°
Last column: nearest neighbours and their distance in Å.
Space group Cmmm (No. 65)
Unique sites:
Y (0.0000, 0.0000, 0.2505)  6 Tm 3.53-3.54, 2 Ho 3.53, 4 Y 3.54
Y (0.0000, 0.3333, 0.2504)  7 Tm 3.53, 1 Ho 3.53, 4 Y 3.54
Ho (0.0000, 0.5000, 0.0000)  8 Y 3.53, 4 Tm 3.54
Tm (0.0000, 0.1669, 0.0000)  2 Tm 3.53, 8 Y 3.53-3.54, 2 Ho 3.54
Tm (0.0000, 0.1667, 0.5000)  8 Y 3.53, 4 Tm 3.54
Tm (0.0000, 0.5000, 0.5000)  8 Y 3.53, 4 Tm 3.54

Calculated values
V = 748.3 Å³/cell
Formation enthalpy at 0 K = 28 meV per atom
Size of the total moment = 0.00 μB per formula unit
ρ = 6.8 g/cm³

---

Computed, not measured: crystalline Y4Ho5Tm4 at its relaxed geometry at the GGA-PBE level of DFT.

a = 12.7234 Å, b = 12.7234 Å, c = 4.9812 Å
α = 90.00°, β = 90.00°, γ = 90.00°
Last column: nearest neighbours and their distance in Å.
Space group I4/m (No. 87)
Unique sites:
Y (0.1534, 0.7693, 0.0000)  6 Ho 3.51-3.54, 4 Tm 3.53-3.55, 2 Y 3.53
Ho (0.0000, 0.0000, 0.0000)  4 Y 3.53, 8 Ho 3.53
Ho (0.0379, 0.1929, 0.5000)  5 Y 3.51-3.54, 3 Tm 3.52-3.53, 4 Ho 3.53-3.54
Tm (0.0763, 0.3860, 0.0000)  5 Tm 3.49-3.51, 3 Ho 3.52-3.53, 4 Y 3.53-3.55

Calculated values
V = 806.4 Å³/cell
Formation enthalpy at 0 K = 26 meV per atom
Size of the total moment = 0.00 μB per formula unit
ρ = 7.6 g/cm³

---

Computed, not measured: crystalline Y7HoTm2 at its relaxed geometry at the GGA-PBE level of DFT.

a = 11.8404 Å, b = 16.4111 Å, c = 3.5205 Å
α = 90.00°, β = 90.00°, γ = 90.00°
Last column: nearest neighbours and their distance in Å.
Space group Cmmm (No. 65)
Unique sites:
Y (0.0000, 0.0000, 0.0000)  10 Y 3.40-3.60
Y (0.0000, 0.1774, 0.5000)  2 Tm 3.10, 6 Y 3.40-3.45
Y (0.2428, 0.1325, 0.0000)  1 Tm 3.10, 2 Y 3.45
Ho (0.0000, 0.5000, 0.5000)  4 Tm 3.26, 2 Ho 3.52
Tm (0.0000, 0.3329, 0.0000)  4 Y 3.10, 2 Ho 3.26

Calculated values
V = 684.1 Å³/cell
Formation enthalpy at 0 K = 432 meV per atom
Size of the total moment = 0.00 μB per formula unit
ρ = 5.5 g/cm³
Relative energy among the computed polymorphs = 0.0 meV per atom